(1)
CdRuPb: optimized geometry, GGA-PBE.

Properties
DFT total energy ... -4.278 eV/atom
Energy of formation ... 8.188 kcal/mol of atoms
Space group ... I4mm (107)
Crystal system ... tetragonal

a b c (Å): 5.772 5.772 3.423
angles (deg): 72.75 72.75 34.50
Fractional coordinates of all 3 atoms:
1 Cd 0.019 0.019 0.981
2 Pb 0.313 0.313 0.687
3 Ru 0.668 0.668 0.332

***

(2)
BaSnP2O: optimized geometry, GGA-PBE.

Properties
DFT total energy ... -4.712 eV/atom
Space group ... P4/mmm (123)
Crystal system ... tetragonal
Formation energy (no corrections) ... -35.9 kJ/mol of atoms
Distance to the lowest polymorph of the same formula ... 0.000 eV per atom

a b c (Å): 5.292 5.292 4.212
angles (deg): 90.00 90.00 90.00
Last column: magnetic moment on the atom in μB.
Fractional coordinates of all 5 atoms:
1 P 0.000 0.500 0.000  0.29
2 P 0.500 0.000 0.000  0.29
3 Ba 0.500 0.500 0.500  0.04
4 O 0.000 0.000 0.500  0.16
5 Sn 0.000 0.000 0.000  -0.02

***

(3)
MnGe2Ir: optimized geometry, GGA-PBE.

Properties
DFT total energy ... -6.872 eV/atom
Energy of formation ... -1.291 kcal/mol of atoms
Space group ... Pm (6)
Crystal system ... monoclinic

a b c (Å): 3.706 2.859 6.093
angles (deg): 90.00 89.97 90.00
Last column: magnetic moment on the atom in μB.
Fractional coordinates of all 4 atoms:
1 Mn 0.878 0.000 0.790  2.71
2 Ge 0.877 0.500 0.132  -0.07
3 Ge 0.378 0.500 0.646  -0.12
4 Ir 0.376 0.000 0.301  -0.03

***

(4)
BiPS4: optimized geometry, GGA-PBE.

Properties
DFT total energy ... -4.596 eV/atom
Space group ... Ibca (73)
Crystal system ... orthorhombic
Formation energy (no corrections) ... -28.6 kJ/mol of atoms
Distance to the lowest polymorph of the same formula ... 0.000 eV per atom

a b c (Å): 10.799 11.316 12.627
angles (deg): 116.62 115.32 90.00
Fractional coordinates of all 48 atoms:
1 Bi 0.391 0.141 0.782
2 Bi 0.109 0.359 0.218
3 Bi 0.609 0.859 0.218
4 Bi 0.891 0.641 0.782
5 Bi 0.648 0.398 0.296
6 Bi 0.852 0.102 0.704
7 Bi 0.352 0.602 0.704
8 Bi 0.148 0.898 0.296
9 P 0.780 0.750 0.500
10 P 0.250 0.287 0.000
11 P 0.750 0.213 0.000
12 P 0.750 0.713 0.000
13 P 0.250 0.787 0.000
14 P 0.280 0.750 0.500
15 P 0.220 0.250 0.500
16 P 0.720 0.250 0.500
17 S 0.100 0.396 0.015
18 S 0.086 0.881 0.985
19 S 0.414 0.896 0.015
20 S 0.600 0.619 0.015
21 S 0.900 0.604 0.985
22 S 0.914 0.119 0.015
23 S 0.586 0.104 0.985
24 S 0.400 0.381 0.985
25 S 0.890 0.602 0.509
26 S 0.610 0.093 0.491
27 S 0.882 0.898 0.491
28 S 0.618 0.407 0.509
29 S 0.110 0.398 0.491
30 S 0.390 0.907 0.509
31 S 0.118 0.102 0.509
32 S 0.382 0.593 0.491
33 S 0.763 0.848 0.672
34 S 0.737 0.175 0.328
35 S 0.590 0.652 0.328
36 S 0.910 0.325 0.672
37 S 0.237 0.152 0.328
38 S 0.263 0.825 0.672
39 S 0.410 0.348 0.672
40 S 0.090 0.675 0.328
41 S 0.661 0.732 0.829
42 S 0.839 0.902 0.171
43 S 0.332 0.768 0.171
44 S 0.168 0.598 0.829
45 S 0.339 0.268 0.171
46 S 0.161 0.098 0.829
47 S 0.668 0.232 0.829
48 S 0.832 0.402 0.171

***

(5)
AlZnP2: optimized geometry, GGA-PBE.

Properties
DFT total energy ... -3.664 eV/atom
Energy of formation ... 6.798 kcal/mol of atoms
Space group ... R3m (160)
Crystal system ... trigonal
Distance to the lowest polymorph of the same formula ... 0.519 eV per atom

a b c (Å): 9.579 9.579 9.579
angles (deg): 17.74 17.74 17.74
Fractional coordinates of all 4 atoms:
1 P 0.022 0.022 0.022
2 P 0.227 0.227 0.227
3 Zn 0.495 0.495 0.495
4 Al 0.755 0.755 0.755

***

(6)
TiNiPd3: optimized geometry, GGA-PBE.

Properties
DFT total energy ... -6.280 eV/atom
Energy of formation ... -9.889 kcal/mol of atoms
Space group ... C2/m (12)
Crystal system ... monoclinic
Distance to the lowest polymorph of the same formula ... 0.000 eV per atom

a b c (Å): 3.769 5.566 10.059
angles (deg): 134.57 100.80 90.00
Fractional coordinates of all 10 atoms:
1 Ti 0.612 0.763 0.225
2 Ti 0.388 0.237 0.775
3 Ni 0.797 0.240 0.595
4 Ni 0.203 0.760 0.405
5 Pd 0.002 0.264 0.005
6 Pd 0.998 0.736 0.995
7 Pd 0.396 0.731 0.791
8 Pd 0.604 0.269 0.209
9 Pd 0.198 0.227 0.397
10 Pd 0.802 0.773 0.603

***

(7)
MgTc2Ni2: optimized geometry, GGA-PBE.

Properties
DFT total energy ... -6.435 eV/atom
Energy of formation ... 7.907 kcal/mol of atoms
Space group ... I4/mmm (139)
Crystal system ... tetragonal
Distance to the lowest polymorph of the same formula ... 0.162 eV per atom

a b c (Å): 3.871 3.871 5.877
angles (deg): 70.77 70.77 90.00
Fractional coordinates of all 5 atoms:
1 Ni 0.750 0.250 0.500
2 Ni 0.250 0.750 0.500
3 Mg 0.000 0.000 0.000
4 Tc 0.393 0.393 0.215
5 Tc 0.607 0.607 0.785